Ac6CdRh4 PBE relaxed; space-group type = No. 63; DOS(E_F) = 6.92 states/eV/f.u.; M_tot = 0.0 μB/cell; formation energy from the elements = -568 meV/atom
1.0
-2.787 1.389 -3.027
2.843 -6.498 -2.483
-16.553 -11.117 10.138
Ac Cd Rh
12 2 8
direct
0.500 0.000 0.000
0.500 0.000 0.500
0.037 0.074 0.347
0.963 0.926 0.653
0.963 0.926 0.847
0.037 0.074 0.153
0.769 0.537 0.418
0.231 0.463 0.582
0.231 0.463 0.918
0.769 0.537 0.082
0.344 0.688 0.250
0.656 0.312 0.750
0.657 0.313 0.250
0.343 0.687 0.750
0.863 0.726 0.542
0.400 0.801 0.128
0.137 0.274 0.458
0.600 0.199 0.872
0.863 0.726 0.958
0.137 0.274 0.042
0.600 0.199 0.628
0.400 0.801 0.372